# 1
{"formula": "Sm2InBi", "functional": "PBE", "state": "relaxed", "cell": [[5.5163, 0.0000, 0.0000], [2.7581, 4.7772, 0.0000], [2.7581, 1.5924, 4.5040]], "species": ["Bi", "In", "Sm", "Sm"], "fractional_positions": [[0.0000, 0.0000, 0.0000], [0.5000, 0.5000, 0.5000], [0.2500, 0.2500, 0.2500], [0.7500, 0.7500, 0.7500]], "e_form_mev_per_atom": -489.1, "vol_a3_per_atom": 29.673, "de_polymorph_ev_per_atom": 0.180, "dft_energy_ev_per_atom": -4.504, "n_ef_per_ev_cell": 4.1, "space_group": "No. 225"}

***

# 2
{"formula": "Sm2CdPd9", "functional": "PBE", "state": "relaxed", "cell": [[4.1327, 0.0000, 0.0000], [0.0000, 4.1327, 0.0000], [0.0000, 0.0000, 12.3500]], "species": ["Pd", "Pd", "Pd", "Pd", "Pd", "Pd", "Pd", "Pd", "Pd", "Cd", "Sm", "Sm"], "fractional_positions": [[0.5000, 0.5000, 0.0000], [0.5000, 0.0000, 0.1597], [0.5000, 0.0000, 0.5000], [0.0000, 0.5000, 0.1597], [0.5000, 0.5000, 0.6685], [0.5000, 0.5000, 0.3315], [0.0000, 0.5000, 0.8403], [0.5000, 0.0000, 0.8403], [0.0000, 0.5000, 0.5000], [0.0000, 0.0000, 0.0000], [0.0000, 0.0000, 0.6723], [0.0000, 0.0000, 0.3277]], "e_form_mev_per_atom": -611.8, "vol_a3_per_atom": 17.577, "dft_energy_ev_per_atom": -5.369, "n_ef_per_ev_cell": 10.4, "space_group": "No. 123"}